Crystalline TbCr2O8 at its relaxed geometry, computed with PBE with a Hubbard U.

It has space group I4/mmm (No. 139), with a = 4.6913 Å, b = 4.6913 Å, c = 11.4527 Å, α = 90.00°, β = 90.00° and γ = 90.00°. The inequivalent atoms are Tb at (0.0000, 0.0000, 0.0000), Cr at (0.0000, 0.5000, 0.2500) and O at (0.2500, 0.2500, 0.1454).

For the total energy, the calculation gives -6.5061 eV per atom. The density of states at the Fermi level is 5.5 states/eV per cell.